(1)
VASP calculation (PBE) on an optimized crystal structure of NbSiP2W.

Computed properties:
Symmetry: P4/mmm (123)
Density of states at the Fermi level in states/eV/cell: 3.7
Total moment in μB per cell: 0.00
Uncorrected formation energy in meV per atom: 981
DFT total energy in eV/atom: -6.873

a b c (Å): 4.518 5.274 4.518
angles (deg): 90.00 90.00 90.00
Sites, in units of the cell vectors:
W (0.000, 0.000, 0.000)
Si (0.500, 0.500, 0.500)
P (0.000, 0.000, 0.500)
P (0.500, 0.000, 0.000)
Nb (0.000, 0.500, 0.000)


(2)
VASP calculation (PBE) on an optimized crystal structure of MgZnCd6.

Computed properties:
Symmetry: P-1 (2)
Density of states at the Fermi level in states/eV/cell: 1.7
Total moment in μB per cell: 0.00
ΔH_f (0 K) in eV/f.u.: 0.27
DFT total energy in eV/atom: -1.012

a b c (Å): 7.361 7.524 5.583
angles (deg): 49.71 50.28 59.36
Sites, in units of the cell vectors:
Cd (0.243, 0.034, 0.221)
Cd (0.519, 0.242, 0.212)
Cd (0.961, 0.467, 0.811)
Cd (0.757, 0.966, 0.779)
Cd (0.039, 0.533, 0.189)
Cd (0.481, 0.758, 0.788)
Mg (0.500, 0.500, 0.500)
Zn (0.000, 0.000, 0.000)